Model one:
CaCd8Ag2 | PBE | optimized geometry

Unit cell a=4.846 b=8.096 c=7.584 alpha=115.68 beta=108.63 gamma=90.00
Sites, in units of the cell vectors:
Ca (0.500, 0.000, 0.000)
Cd (0.600, 0.471, 0.199)
Cd (0.291, 0.113, 0.582)
Cd (0.149, 0.298, 0.298)
Cd (0.058, 0.740, 0.117)
Cd (0.851, 0.702, 0.702)
Cd (0.709, 0.887, 0.418)
Cd (0.400, 0.529, 0.801)
Cd (0.942, 0.260, 0.883)
Ag (0.252, 0.718, 0.504)
Ag (0.748, 0.282, 0.496)

Calculated values
**M_tot**: 0.000 μB/cell
**Space group**: C2/m (12)

Model two:
CaCd8Ag2 | PBE | optimized geometry

Unit cell a=5.410 b=8.074 c=7.538 alpha=57.62 beta=80.14 gamma=71.36
Sites, in units of the cell vectors:
Ca (0.500, 0.000, 0.000)
Cd (0.868, 0.085, 0.234)
Cd (0.868, 0.319, 0.766)
Cd (0.295, 0.413, 0.000)
Cd (0.500, 0.748, 0.505)
Cd (0.500, 0.252, 0.495)
Cd (0.705, 0.587, 0.000)
Cd (0.132, 0.681, 0.234)
Cd (0.132, 0.915, 0.766)
Ag (0.000, 0.306, 0.388)
Ag (0.000, 0.694, 0.612)

Calculated values
**M_tot**: 0.000 μB/cell
**Space group**: C2/m (12)

Result of the stability comparison: model one is the most stable of them.

Model one:
Ca3Cd2Ag | PBE | optimized geometry

Unit cell a=3.735 b=5.422 c=8.555 alpha=108.47 beta=90.00 gamma=90.00
Sites, in units of the cell vectors:
Ca (0.500, 0.500, 0.000)
Ca (0.500, 0.839, 0.678)
Ca (0.500, 0.161, 0.322)
Cd (0.000, 0.328, 0.656)
Cd (0.000, 0.672, 0.344)
Ag (0.000, 0.000, 0.000)

Calculated values
**M_tot**: 0.000 μB/cell
**Space group**: Cmmm (65)

Model two:
Ca3Cd2Ag | PBE | optimized geometry

Unit cell a=3.761 b=3.761 c=11.592 alpha=90.00 beta=90.00 gamma=90.00
Sites, in units of the cell vectors:
Ca (0.000, 0.000, 0.000)
Ca (0.000, 0.000, 0.659)
Ca (0.000, 0.000, 0.341)
Cd (0.500, 0.500, 0.830)
Cd (0.500, 0.500, 0.170)
Ag (0.500, 0.500, 0.500)

Calculated values
**M_tot**: 0.000 μB/cell
**Space group**: P4/mmm (123)

Result of the stability comparison: model two is the most stable of them.

Model one:
CaCd3Ag3 | PBE | optimized geometry

Unit cell a=4.902 b=8.376 c=8.379 alpha=120.00 beta=90.00 gamma=90.00
Sites, in units of the cell vectors:
Ca (0.750, 0.333, 0.667)
Ca (0.250, 0.667, 0.333)
Cd (0.750, 0.773, 0.996)
Cd (0.750, 0.223, 0.227)
Cd (0.750, 0.004, 0.777)
Cd (0.250, 0.227, 0.004)
Cd (0.250, 0.777, 0.773)
Cd (0.250, 0.996, 0.223)
Ag (0.750, 0.918, 0.387)
Ag (0.750, 0.468, 0.082)
Ag (0.750, 0.613, 0.531)
Ag (0.250, 0.082, 0.613)
Ag (0.250, 0.532, 0.918)
Ag (0.250, 0.387, 0.469)

Calculated values
**M_tot**: 0.000 μB/cell
**Space group**: P6_3/m (176)

Model two:
CaCd3Ag3 | PBE | optimized geometry

Unit cell a=7.395 b=7.395 c=7.826 alpha=61.81 beta=61.81 gamma=60.00
Sites, in units of the cell vectors:
Ca (0.345, 0.345, 0.964)
Ca (0.655, 0.655, 0.036)
Cd (0.568, 0.732, 0.626)
Cd (0.732, 0.075, 0.626)
Cd (0.075, 0.568, 0.626)
Cd (0.925, 0.432, 0.374)
Cd (0.268, 0.925, 0.374)
Cd (0.432, 0.268, 0.374)
Ag (0.171, 0.717, 0.181)
Ag (0.931, 0.171, 0.181)
Ag (0.717, 0.931, 0.181)
Ag (0.283, 0.069, 0.819)
Ag (0.069, 0.829, 0.819)
Ag (0.829, 0.283, 0.819)

Calculated values
**M_tot**: 0.000 μB/cell
**Space group**: R-3 (148)

Result of the stability comparison: model one is the most stable of them.

Model one:
CaCd2Ag4 | PBE | optimized geometry

Unit cell a=5.657 b=5.850 c=5.850 alpha=76.48 beta=61.09 gamma=61.09
Sites, in units of the cell vectors:
Ca (0.000, 0.000, 0.000)
Ag (0.695, 0.000, 0.610)
Ag (0.305, 0.000, 0.390)
Ag (0.305, 0.390, 0.000)
Ag (0.695, 0.610, 0.000)
Cd (0.750, 0.500, 0.500)
Cd (0.250, 0.500, 0.500)

Calculated values
**M_tot**: 0.000 μB/cell
**Space group**: I4/mmm (139)

Model two:
CaCd2Ag4 | PBE | optimized geometry

Unit cell a=6.705 b=6.705 c=6.705 alpha=99.80 beta=99.80 gamma=131.26
Sites, in units of the cell vectors:
Ca (0.000, 0.000, 0.000)
Cd (0.250, 0.750, 0.500)
Cd (0.750, 0.250, 0.500)
Ag (0.721, 0.500, 0.221)
Ag (0.500, 0.721, 0.221)
Ag (0.500, 0.279, 0.779)
Ag (0.279, 0.500, 0.779)

Calculated values
**M_tot**: 0.000 μB/cell
**Space group**: I4/mmm (139)

Result of the stability comparison: model one is the most stable of them.

Model one:
Ca2CdAg2 | PBE | optimized geometry

Unit cell a=5.830 b=5.830 c=5.828 alpha=59.99 beta=59.99 gamma=90.00
Sites, in units of the cell vectors:
Ca (0.750, 0.250, 0.500)
Ca (0.250, 0.750, 0.500)
Ag (0.341, 0.341, 0.319)
Ag (0.659, 0.659, 0.681)
Cd (0.000, 0.000, 0.000)

Calculated values
**M_tot**: 0.000 μB/cell
**Space group**: I4/mmm (139)

Model two:
Ca2CdAg2 | PBE | optimized geometry

Unit cell a=8.570 b=8.570 c=3.719 alpha=90.00 beta=90.00 gamma=90.00
Sites, in units of the cell vectors:
Ca (0.334, 0.834, 0.000)
Ca (0.834, 0.666, 0.000)
Ca (0.666, 0.166, 0.000)
Ca (0.166, 0.334, 0.000)
Ag (0.125, 0.625, 0.500)
Ag (0.625, 0.875, 0.500)
Ag (0.875, 0.375, 0.500)
Ag (0.375, 0.125, 0.500)
Cd (0.000, 0.000, 0.000)
Cd (0.500, 0.500, 0.000)

Calculated values
**M_tot**: 0.000 μB/cell
**Space group**: P4/mbm (127)

Model three:
Ca2CdAg2 | PBE | optimized geometry

Unit cell a=7.896 b=7.896 c=4.136 alpha=90.00 beta=90.00 gamma=90.00
Sites, in units of the cell vectors:
Ca (0.174, 0.674, 0.500)
Ca (0.674, 0.826, 0.500)
Ca (0.826, 0.326, 0.500)
Ca (0.326, 0.174, 0.500)
Ag (0.373, 0.873, 0.000)
Ag (0.873, 0.627, 0.000)
Ag (0.627, 0.127, 0.000)
Ag (0.127, 0.373, 0.000)
Cd (0.000, 0.000, 0.000)
Cd (0.500, 0.500, 0.000)

Calculated values
**M_tot**: 0.000 μB/cell
**Space group**: P4/mbm (127)

Model four:
Ca2CdAg2 | PBE | optimized geometry

Unit cell a=3.909 b=3.909 c=9.237 alpha=77.78 beta=77.78 gamma=90.00
Sites, in units of the cell vectors:
Ca (0.393, 0.393, 0.215)
Ca (0.607, 0.607, 0.785)
Ag (0.750, 0.250, 0.500)
Ag (0.250, 0.750, 0.500)
Cd (0.000, 0.000, 0.000)

Calculated values
**M_tot**: 0.000 μB/cell
**Space group**: I4/mmm (139)

Result of the stability comparison: model three is the most stable of them.

Model one:
Ca2CdAg3 | PBE | optimized geometry

Unit cell a=6.058 b=6.058 c=9.110 alpha=103.72 beta=103.72 gamma=106.67
Sites, in units of the cell vectors:
Ca (0.250, 0.750, 0.500)
Ca (0.753, 0.753, 0.000)
Ca (0.750, 0.250, 0.500)
Ca (0.247, 0.247, 0.000)
Cd (0.667, 0.667, 0.333)
Cd (0.333, 0.333, 0.667)
Ag (0.333, 0.834, 0.167)
Ag (0.166, 0.667, 0.833)
Ag (0.667, 0.166, 0.833)
Ag (0.834, 0.333, 0.167)
Ag (0.166, 0.166, 0.332)
Ag (0.834, 0.834, 0.668)

Calculated values
**M_tot**: 0.000 μB/cell
**Space group**: Fmmm (69)

Model two:
Ca2CdAg3 | PBE | optimized geometry

Unit cell a=4.836 b=6.080 c=5.967 alpha=74.46 beta=66.10 gamma=66.57
Sites, in units of the cell vectors:
Ca (0.546, 0.201, 0.708)
Ca (0.455, 0.795, 0.296)
Cd (0.165, 0.390, 0.281)
Ag (0.835, 0.612, 0.717)
Ag (0.837, 0.207, 0.118)
Ag (0.162, 0.795, 0.880)

Calculated values
**M_tot**: 0.000 μB/cell
**Space group**: Cm (8)

Result of the stability comparison: model two is the most stable of them.

Model one:
Ca2Cd3Ag | PBE | optimized geometry

Unit cell a=3.636 b=4.961 c=8.603 alpha=90.00 beta=90.00 gamma=90.00
Sites, in units of the cell vectors:
Ca (0.000, 0.500, 0.012)
Ca (0.000, 0.000, 0.489)
Cd (0.500, 0.000, 0.832)
Cd (0.500, 0.000, 0.168)
Cd (0.500, 0.500, 0.664)
Ag (0.500, 0.500, 0.334)

Calculated values
**M_tot**: 0.000 μB/cell
**Space group**: Pmm2 (25)

Model two:
Ca2Cd3Ag | PBE | optimized geometry

Unit cell a=6.133 b=6.133 c=9.362 alpha=102.84 beta=102.84 gamma=108.76
Sites, in units of the cell vectors:
Ca (0.250, 0.750, 0.500)
Ca (0.747, 0.747, 0.000)
Ca (0.750, 0.250, 0.500)
Ca (0.253, 0.253, 0.000)
Cd (0.664, 0.168, 0.831)
Cd (0.832, 0.336, 0.169)
Cd (0.336, 0.832, 0.169)
Cd (0.168, 0.664, 0.831)
Cd (0.832, 0.832, 0.664)
Cd (0.168, 0.168, 0.336)
Ag (0.333, 0.333, 0.666)
Ag (0.667, 0.667, 0.334)

Calculated values
**M_tot**: 0.000 μB/cell
**Space group**: Fmmm (69)

Result of the stability comparison: model one is the most stable of them.

Model one:
Ca4CdAg3 | PBE | optimized geometry

Unit cell a=5.278 b=5.278 c=8.433 alpha=108.49 beta=108.24 gamma=90.00
Sites, in units of the cell vectors:
Ca (0.373, 0.373, 0.746)
Ca (0.627, 0.627, 0.254)
Ca (0.127, 0.127, 0.254)
Ca (0.873, 0.873, 0.746)
Ag (0.000, 0.500, 0.000)
Ag (0.747, 0.248, 0.495)
Ag (0.253, 0.752, 0.505)
Cd (0.500, 0.000, 0.000)

Calculated values
**M_tot**: 0.000 μB/cell
**Space group**: C2/m (12)

Model two:
Ca4CdAg3 | PBE | optimized geometry

Unit cell a=4.063 b=4.772 c=11.522 alpha=90.00 beta=90.00 gamma=90.00
Sites, in units of the cell vectors:
Ca (0.500, 0.500, 0.363)
Ca (0.000, 0.500, 0.851)
Ca (0.000, 0.000, 0.147)
Ca (0.500, 0.000, 0.641)
Cd (0.500, 0.500, 0.074)
Ag (0.000, 0.500, 0.575)
Ag (0.000, 0.000, 0.426)
Ag (0.500, 0.000, 0.924)

Calculated values
**M_tot**: 0.000 μB/cell
**Space group**: Pmm2 (25)

Result of the stability comparison: model two is the most stable of them.

Model one:
CaCd6Ag4 | PBE | optimized geometry

Unit cell a=4.398 b=8.096 c=8.096 alpha=120.00 beta=90.00 gamma=90.00
Sites, in units of the cell vectors:
Ca (0.000, 0.000, 0.000)
Cd (0.000, 0.534, 0.067)
Cd (0.500, 0.603, 0.802)
Cd (0.000, 0.534, 0.466)
Cd (0.000, 0.933, 0.466)
Cd (0.500, 0.198, 0.802)
Cd (0.500, 0.198, 0.397)
Ag (0.500, 0.798, 0.596)
Ag (0.500, 0.404, 0.202)
Ag (0.500, 0.798, 0.202)
Ag (0.000, 0.333, 0.667)

Calculated values
**M_tot**: 0.000 μB/cell
**Space group**: P-6m2 (187)

Model two:
CaCd6Ag4 | PBE | optimized geometry

Unit cell a=7.281 b=7.281 c=7.281 alpha=89.00 beta=120.58 gamma=120.58
Sites, in units of the cell vectors:
Ca (0.000, 0.000, 0.000)
Cd (0.000, 0.892, 0.523)
Cd (0.000, 0.523, 0.892)
Cd (0.630, 0.108, 0.108)
Cd (0.500, 0.000, 0.500)
Cd (0.370, 0.477, 0.477)
Cd (0.500, 0.500, 0.000)
Ag (0.000, 0.258, 0.596)
Ag (0.662, 0.404, 0.404)
Ag (0.000, 0.596, 0.258)
Ag (0.338, 0.742, 0.742)

Calculated values
**M_tot**: 0.000 μB/cell
**Space group**: I-42m (121)

Result of the stability comparison: model one is the most stable of them.

Model one:
CaDyCdAg | PBE | optimized geometry

Unit cell a=3.703 b=3.703 c=7.564 alpha=90.00 beta=90.00 gamma=90.00
Sites, in units of the cell vectors:
Ca (0.000, 0.000, 0.365)
Dy (0.000, 0.000, 0.844)
Cd (0.500, 0.500, 0.094)
Ag (0.500, 0.500, 0.624)

Calculated values
**M_tot**: 0.000 μB/cell
**Space group**: P4mm (99)

Model two:
CaDyCdAg | PBE | optimized geometry

Unit cell a=5.255 b=5.255 c=5.255 alpha=60.00 beta=60.00 gamma=60.00
Sites, in units of the cell vectors:
Ca (0.000, 0.000, 0.000)
Cd (0.750, 0.750, 0.750)
Ag (0.250, 0.250, 0.250)
Dy (0.500, 0.500, 0.500)

Calculated values
**M_tot**: 0.000 μB/cell
**Space group**: F-43m (216)

Result of the stability comparison: model one is the most stable of them.

Model one:
CaErCdAg | PBE | optimized geometry

Unit cell a=5.231 b=5.231 c=5.231 alpha=60.00 beta=60.00 gamma=60.00
Sites, in units of the cell vectors:
Ca (0.000, 0.000, 0.000)
Cd (0.750, 0.750, 0.750)
Ag (0.250, 0.250, 0.250)
Er (0.500, 0.500, 0.500)

Calculated values
**M_tot**: 0.000 μB/cell
**Space group**: F-43m (216)

Model two:
CaErCdAg | PBE | optimized geometry

Unit cell a=3.677 b=3.677 c=7.571 alpha=90.00 beta=90.00 gamma=90.00
Sites, in units of the cell vectors:
Ca (0.000, 0.000, 0.866)
Er (0.000, 0.000, 0.343)
Cd (0.500, 0.500, 0.592)
Ag (0.500, 0.500, 0.127)

Calculated values
**M_tot**: 0.000 μB/cell
**Space group**: P4mm (99)

Result of the stability comparison: model two is the most stable of them.